The following is a PBE calculation of a relaxed RbPm2H crystal, from the Alexandria database.

a b c (Å): 3.7533 3.7533 31.5887
angles (deg): 90.00 90.00 120.00
Space group R-3m (No. 166, hexagonal axes)
Unique sites:
1 Rb 0.0000 0.0000 0.0000 (multiplicity 3)
2 Pm 0.0000 0.0000 0.1235 (multiplicity 6)
3 H 0.0000 0.0000 0.5000 (multiplicity 3)

***

The following is a PBE calculation of a relaxed Pm2ReH crystal, from the Alexandria database.

a b c (Å): 3.1004 3.1004 27.1949
angles (deg): 90.00 90.00 120.00
Space group R-3m (No. 166, hexagonal axes)
Unique sites:
1 Pm 0.0000 0.0000 0.1037 (multiplicity 6)
2 Re 0.0000 0.0000 0.0000 (multiplicity 3)
3 H 0.0000 0.0000 0.5000 (multiplicity 3)

***

The following is a PBE calculation of a relaxed Pm2ReH6 crystal, from the Alexandria database.

a b c (Å): 7.329 7.329 7.329
angles (deg): 90.00 90.00 90.00
Space group Fm-3m (No. 225)
Unique sites:
1 Pm 0.250 0.250 0.250 (multiplicity 8)
2 Re 0.000 0.000 0.000 (multiplicity 4)
3 H 0.000 0.000 0.244 (multiplicity 24)

***

Number 1: E_tot -3.3823 eV/atom, Fermi-level density of states 0.9763 states/eV per atom. Number 2: E_tot -5.7049 eV/atom, Fermi-level density of states 0.8291 states/eV per atom. Number 3: E_tot -5.1605 eV/atom, Fermi-level density of states 0.3109 states/eV per atom.